Material: Mg2ZrCu
Method: DFT, GGA-PBE
State: optimized geometry

Properties
formation enthalpy at 0 K	85	meV/atom

a = 3.0176 Å, b = 3.0176 Å, c = 29.6035 Å
α = 90.00°, β = 90.00°, γ = 120.00°
Last column: nearest neighbours and their distance in Å.
Space group R-3m (No. 166, hexagonal axes)
Asymmetric unit:
Mg: 0.0000 0.0000 0.2400 (multiplicity 6)  3 Cu 2.78, 6 Mg 3.02
Zr: 0.0000 0.0000 0.0000 (multiplicity 3)  6 Zr 3.02, 6 Mg 3.27
Cu: 0.0000 0.0000 0.5000 (multiplicity 3)  6 Mg 2.78, 6 Cu 3.02